(1)
A plane-wave DFT calculation with GGA-PBE was carried out for TbHfSn after structural relaxation.

Cell: 4.361 4.361 8.198 Å, 90.00 90.00 90.00°
Space group P4/nmm (No. 129, origin choice 2)
Symmetry-distinct sites (fractional):
Tb 0.250 0.250 0.162 [2 per cell]
Hf 0.250 0.750 0.500 [2 per cell]
Sn 0.250 0.250 0.765 [2 per cell]

uncorrected energy = -6.725 eV per atom
magnetic moment = 0.00 μB per formula unit

(2)
A plane-wave DFT calculation with GGA-PBE was carried out for TaCd2Ni after structural relaxation.

Cell: 6.477 6.477 6.477 Å, 90.00 90.00 90.00°
Space group F-43m (No. 216)
Symmetry-distinct sites (fractional):
Ta 0.000 0.000 0.000 [4 per cell]
Cd 0.000 0.000 0.500 [4 per cell]
Cd 0.250 0.250 0.250 [4 per cell]
Ni 0.250 0.250 0.750 [4 per cell]

ΔH_f (0 K) = 0.322 eV per atom
magnetic moment = 0.00 μB per formula unit

(3)
A plane-wave DFT calculation with GGA-PBE was carried out for NaScPd2O6 after structural relaxation.

Cell: 10.295 9.180 5.545 Å, 90.00 98.64 90.00°
Space group C2/c (No. 15)
Symmetry-distinct sites (fractional):
Na 0.000 0.160 0.250 [4 per cell]
Sc 0.000 0.409 0.750 [4 per cell]
Pd 0.216 0.126 0.788 [8 per cell]
O 0.104 0.423 0.100 [8 per cell]
O 0.116 0.266 0.593 [8 per cell]
O 0.139 0.023 0.025 [8 per cell]

uncorrected energy = -5.783 eV per atom
magnetic moment = 0.00 μB per formula unit

Look up the magnetic moment of the first one.
0.00 μB per formula unit